This record from the Alexandria database describes LaHf2Zr after structural relaxation. The functional is PBE.

a b c (Å): 6.579 6.579 6.579
angles (deg): 102.80 102.80 123.84
Sites, in units of the cell vectors:
La1 0.000 0.000 0.000
La2 0.750 0.250 0.500
Hf1 0.142 0.625 0.017
Hf2 0.375 0.392 0.517
Hf3 0.608 0.125 0.983
Hf4 0.875 0.858 0.483
Zr1 0.250 0.750 0.500
Zr2 0.500 0.500 0.000

Computed properties:
* formation enthalpy at 0 K: 0.69 eV per atom
* uncorrected energy: -7.65 eV per atom
* volume: 208.7 Å³ per cell